# ThV3O9 (PBE+U, optimized geometry)
data_ThV3O9
_symmetry_space_group_name_H-M 'C 2 2 21'
_symmetry_Int_Tables_number 20
_cell_length_a 9.076
_cell_length_b 12.145
_cell_length_c 7.720
_cell_angle_alpha 90.00
_cell_angle_beta 90.00
_cell_angle_gamma 90.00
loop_
_symmetry_equiv_pos_as_xyz
'x,y,z'
'-x,-y,z+1/2'
'x,-y,-z'
'-x,y,-z+1/2'
'x+1/2,y+1/2,z'
'-x+1/2,-y+1/2,z+1/2'
'x+1/2,-y+1/2,-z'
'-x+1/2,y+1/2,-z+1/2'
loop_
_atom_site_label
_atom_site_fract_x
_atom_site_fract_y
_atom_site_fract_z
Th1 0.114 0.000 0.000
V1 0.031 0.314 0.472
V2 0.245 0.500 0.000
O1 0.000 0.342 0.250
O2 0.011 0.175 0.500
O3 0.130 0.389 0.943
O4 0.141 0.014 0.680
O5 0.196 0.378 0.533
# Raw total energy: -8.00 eV per atom
# Total magnetic moment: 1.0 μB/f.u.